Material: Al3MoBr
Method: DFT, SCAN
State: PBEsol geometry

Cell: 4.957 4.957 4.957 Å, 90.00 90.00 90.00°
Space group Pm-3m (No. 221)
One atom of each set of equivalent atoms:
Al1 0.000 0.000 0.500 [3 per cell]
Mo1 0.000 0.000 0.000 [1 per cell]
Br1 0.500 0.500 0.500 [1 per cell]

Results
- Formation energy from raw total energies: 0.70 eV per atom
- Spin magnetization: 1.76 μB/f.u.
- N(E_F): 6.15 states/eV/f.u.
- V: 121.8 Å³ per cell